Compound: GdTh3Fe
Source: the Alexandria database
Functional: PBE
Structure: optimized geometry

```
data_GdTh3Fe
_chemical_formula_sum 'Gd1 Th3 Fe1'
_cell_length_a 5.322
_cell_length_b 5.322
_cell_length_c 5.322
_cell_angle_alpha 90.00
_cell_angle_beta 90.00
_cell_angle_gamma 90.00
_space_group_name_H-M_alt 'P m -3 m'
_space_group_IT_number 221
_space_group_name_Hall '-P 4 2 3'
loop_
_atom_site_label
_atom_site_fract_x
_atom_site_fract_y
_atom_site_fract_z
_atom_site_occupancy
Gd1 0.000 0.000 0.000 1
Th1 0.000 0.500 0.500 1
Fe1 0.500 0.500 0.500 1
```

Values from the calculation:
D(E_F) = 1.73 states/eV/atom
DFT formation energy = 0.269 eV per formula unit
total magnetization = 8.144 μB/cell